Entry 1:
The following is a DFT calculation (PBE) of a relaxed structure of LaTbY.

Geometry as POSCAR:
```
LaTbY
1.0
4.207 0.000 0.000
0.000 4.207 0.000
0.000 0.000 11.558
Y La Tb
2 2 2
Direct
0.500 0.000 0.923 Y
0.000 0.500 0.077 Y
0.000 0.500 0.746 La
0.500 0.000 0.254 La
0.500 0.000 0.574 Tb
0.000 0.500 0.426 Tb
```

* space-group type: No. 129
* total moment: 0.00 μB/f.u.
* offset from the most stable computed form: 85 meV per atom
* V: 204.5 Å³ per cell
* formation energy from the elements: 0.103 eV per atom

***

Entry 2:
The following is a DFT calculation (PBE) of a relaxed structure of Tl2FeSi.

Geometry as POSCAR:
```
Tl2FeSi
1.0
4.984 0.000 0.000
2.492 4.316 0.000
2.492 1.439 4.069
Si Tl Fe
1 2 1
Direct
0.750 0.750 0.750 Si
0.000 0.000 0.000 Tl
0.250 0.250 0.250 Tl
0.500 0.500 0.500 Fe
```

* space-group type: No. 216
* energy relative to the elements, uncorrected: 822 meV per atom
* total moment: 3.01 μB/f.u.
* offset from the most stable computed form: 588 meV per atom
* V: 87.5 Å³ per cell

***

Entry 3:
The following is a DFT calculation (PBE) of a relaxed structure of TlSnSe2.

Geometry as POSCAR:
```
TlSnSe2
1.0
7.514 0.000 0.000
0.000 7.514 0.000
3.757 3.757 5.297
Se Tl Sn
4 2 2
Direct
0.375 0.431 0.750 Se
0.181 0.625 0.250 Se
0.569 0.125 0.250 Se
0.875 0.819 0.750 Se
0.000 0.000 0.000 Tl
0.750 0.250 0.500 Tl
0.250 0.750 0.500 Sn
0.500 0.500 0.000 Sn
```

* space-group type: No. 122
* energy relative to the elements, uncorrected: -297 meV per atom
* total moment: 0.00 μB/f.u.
* V: 299.0 Å³ per cell

***

Entry 4:
The following is a DFT calculation (PBE) of a relaxed structure of KPdSeN2.

Geometry as POSCAR:
```
KPdSeN2
1.0
-2.046 -0.556 4.240
-0.457 -4.645 -0.830
5.649 -1.019 2.592
N Pd Se K
2 1 1 1
Direct
0.500 0.000 0.000 N
0.000 0.500 0.000 N
0.500 0.500 0.500 Pd
0.000 0.000 0.500 Se
0.000 0.000 0.000 K
```

* space-group type: No. 123
* energy relative to the elements, uncorrected: 2360 meV per atom
* total moment: 6.16 μB/f.u.
* offset from the most stable computed form: 1160 meV per atom
* V: 141.6 Å³ per cell

***

Entry 5:
The following is a DFT calculation (PBE) of a relaxed structure of Rb2GeAu2.

Geometry as POSCAR:
```
Rb2GeAu2
1.0
6.695 0.000 0.000
3.347 7.002 -0.592
3.347 1.508 8.313
Rb Au Ge
4 4 2
Direct
0.888 0.323 0.901 Rb
0.326 0.799 0.550 Rb
0.674 0.201 0.450 Rb
0.112 0.677 0.099 Rb
0.542 0.810 0.106 Au
0.458 0.190 0.894 Au
0.882 0.653 0.582 Au
0.118 0.347 0.418 Au
0.668 0.857 0.806 Ge
0.332 0.143 0.194 Ge
```

* space-group type: No. 12
* total moment: 0.00 μB/f.u.
* offset from the most stable computed form: 0 meV per atom
* V: 395.7 Å³ per cell
* formation energy from the elements: -0.147 eV per atom

***

Entry 6:
The following is a DFT calculation (PBE) of a relaxed structure of YTl.

Geometry as POSCAR:
```
YTl
1.0
-0.545 -4.340 4.622
0.959 -4.439 -4.055
11.715 0.683 2.022
Tl Y
8 8
Direct
0.664 0.181 0.455 Tl
0.836 0.819 0.955 Tl
0.336 0.681 0.045 Tl
0.160 0.004 0.314 Tl
0.840 0.504 0.186 Tl
0.164 0.319 0.545 Tl
0.660 0.496 0.686 Tl
0.340 0.996 0.814 Tl
0.345 0.823 0.558 Y
0.148 0.496 0.795 Y
0.845 0.677 0.442 Y
0.655 0.323 0.942 Y
0.852 0.996 0.705 Y
0.352 0.504 0.295 Y
0.155 0.177 0.058 Y
0.648 0.004 0.205 Y
```

* space-group type: No. 19
* total moment: 0.00 μB/f.u.
* V: 461.3 Å³ per cell
* formation energy from the elements: -0.268 eV per atom

***

- Among the records above, which one has the lowest V?
  Tl2FeSi